Record 1
A geometry-optimized KInP2 structure, computed with PBE.

Lattice parameters (Å, degrees): 3.873 3.881 6.743 90.00 90.00 90.00
Element x y z (fractional)
In 0.500 0.500 0.250
P 0.000 0.000 0.088
P 0.000 0.000 0.412
K 0.500 0.500 0.750

V ... 25.3 Å³/atom
Calculated total energy ... -3.71 eV/atom
Space-group type ... P4/mmm, No. 123
Energy of formation ... -0.04 eV per atom
Spin magnetization ... 0.0 μB/f.u.


Record 2
A geometry-optimized KInP2 structure, computed with PBE.

Lattice parameters (Å, degrees): 3.747 4.124 7.378 65.74 90.00 90.00
Element x y z (fractional)
K 0.500 0.750 0.750
In 0.500 0.250 0.250
P 0.000 0.953 0.095
P 0.000 0.547 0.405

V ... 26.0 Å³/atom
Calculated total energy ... -3.74 eV/atom
Space-group type ... P2/m, No. 10
Energy of formation ... -0.08 eV per atom
Spin magnetization ... 0.0 μB/f.u.


Record 3
A geometry-optimized KInP2 structure, computed with PBE.

Lattice parameters (Å, degrees): 3.499 3.499 7.785 90.00 90.00 90.00
Element x y z (fractional)
K 0.500 0.500 0.788
In 0.000 0.000 0.434
P 0.500 0.500 0.182
P 0.000 0.000 0.096

V ... 23.8 Å³/atom
Calculated total energy ... -3.64 eV/atom
Space-group type ... P4mm, No. 99
Energy of formation ... 0.02 eV per atom
Spin magnetization ... 0.0 μB/f.u.


Record 4
A geometry-optimized K2In2P structure, computed with PBE.

Lattice parameters (Å, degrees): 7.170 7.898 6.759 102.42 90.00 116.99
Element x y z (fractional)
In 0.060 0.222 0.478
In 0.839 0.778 0.022
P 0.778 0.000 0.750
K 0.590 0.294 0.638
K 0.296 0.706 0.862
In 0.161 0.222 0.978
K 0.410 0.706 0.362
In 0.940 0.778 0.522
K 0.704 0.294 0.138
P 0.222 0.000 0.250

V ... 33.1 Å³/atom
Calculated total energy ... -2.77 eV/atom
Space-group type ... C2/c, No. 15
Energy of formation ... -0.16 eV per atom
Spin magnetization ... 0.0 μB/f.u.
Energy relative to the lowest polymorph listed for this composition ... 0 meV/atom


Record 5
A geometry-optimized K3In2P3 structure, computed with PBE.

Lattice parameters (Å, degrees): 4.362 7.385 14.921 90.00 90.00 107.18
Element x y z (fractional)
P 0.359 0.718 0.546
K 0.345 0.689 0.750
In 0.243 0.485 0.407
In 0.757 0.515 0.593
K 0.943 0.887 0.388
K 0.655 0.311 0.250
P 0.641 0.282 0.046
P 0.359 0.718 0.954
P 0.330 0.659 0.250
K 0.943 0.887 0.112
K 0.057 0.113 0.888
In 0.243 0.485 0.093
K 0.057 0.113 0.612
In 0.757 0.515 0.907
P 0.670 0.341 0.750
P 0.641 0.282 0.454

V ... 28.7 Å³/atom
Calculated total energy ... -3.46 eV/atom
Space-group type ... Cmcm, No. 63
Energy of formation ... -0.33 eV per atom
Spin magnetization ... 0.0 μB/f.u.


Record 6
A geometry-optimized KInP2 structure, computed with PBE.

Lattice parameters (Å, degrees): 3.363 3.363 8.257 90.00 90.00 83.25
Element x y z (fractional)
In 0.500 0.500 0.250
P 0.000 0.000 0.045
K 0.500 0.500 0.750
P 0.000 0.000 0.455

V ... 23.2 Å³/atom
Calculated total energy ... -3.40 eV/atom
Space-group type ... Cmmm, No. 65
Energy of formation ... 0.26 eV per atom
Spin magnetization ... 0.0 μB/f.u.


Record 7
A geometry-optimized K2RbInP2 structure, computed with PBE.

Lattice parameters (Å, degrees): 8.130 6.955 8.952 112.86 117.01 90.00
Element x y z (fractional)
P 0.778 0.097 0.193
Rb 0.000 0.250 0.000
P 0.585 0.403 0.807
K 0.131 0.311 0.623
K 0.492 0.811 0.623
K 0.508 0.189 0.377
In 0.500 0.750 0.000
P 0.415 0.597 0.193
In 0.500 0.250 0.000
K 0.869 0.689 0.377
P 0.222 0.903 0.807
Rb 0.000 0.750 0.000

V ... 33.8 Å³/atom
Calculated total energy ... -3.14 eV/atom
Space-group type ... Ibam, No. 72
Energy of formation ... -0.35 eV per atom
Spin magnetization ... 0.0 μB/f.u.


Record 8
A geometry-optimized KInPRh structure, computed with PBE.

Lattice parameters (Å, degrees): 4.058 4.058 12.760 90.00 90.00 90.00
Element x y z (fractional)
K 0.750 0.750 0.239
Rh 0.250 0.750 0.000
Rh 0.750 0.250 0.000
In 0.250 0.750 0.500
P 0.750 0.750 0.904
P 0.250 0.250 0.096
In 0.750 0.250 0.500
K 0.250 0.250 0.761

V ... 26.3 Å³/atom
Calculated total energy ... -4.60 eV/atom
Space-group type ... P4/nmm, No. 129
Energy of formation ... -0.45 eV per atom
Spin magnetization ... 0.0 μB/f.u.


Record 9
A geometry-optimized KInPS2 structure, computed with PBE.

Lattice parameters (Å, degrees): 5.762 5.762 5.999 90.00 90.00 90.00
Each line ends with the local moment (μB).
Element x y z (fractional)
P 0.000 0.000 0.500  1.07
K 0.000 0.000 0.000  0.05
S 0.500 0.000 0.000  0.73
In 0.500 0.500 0.500  0.01
S 0.000 0.500 0.000  0.73

ΔE_f (raw) ... 5.24 eV/f.u.
V ... 39.8 Å³/atom
Calculated total energy ... -2.45 eV/atom
Space-group type ... P4/mmm, No. 123
Spin magnetization ... 5.0 μB/f.u.
Energy relative to the lowest polymorph listed for this composition ... 952 meV/atom


Record 10
A geometry-optimized KIn3P4S12 structure, computed with PBE.

Lattice parameters (Å, degrees): 8.945 8.945 8.945 99.86 99.86 99.86
Element x y z (fractional)
S 0.654 0.835 0.047
In 0.485 0.000 0.515
S 0.165 0.346 0.953
In 0.515 0.485 0.000
In 0.000 0.515 0.485
S 0.346 0.953 0.165
S 0.500 0.357 0.643
S 0.890 0.500 0.110
S 0.643 0.500 0.357
P 0.500 0.967 0.033
S 0.110 0.890 0.500
S 0.500 0.110 0.890
S 0.357 0.643 0.500
S 0.953 0.165 0.346
P 0.033 0.500 0.967
K 0.000 0.000 0.000
S 0.835 0.047 0.654
P 0.967 0.033 0.500
S 0.047 0.654 0.835
P 0.500 0.500 0.500

ΔE_f (raw) ... -5.34 eV/f.u.
V ... 34.0 Å³/atom
Calculated total energy ... -4.29 eV/atom
Space-group type ... R32, No. 155
Spin magnetization ... 0.0 μB/f.u.


Record 11
A geometry-optimized KInP2S structure, computed with PBE.

Lattice parameters (Å, degrees): 5.209 5.209 5.339 90.00 90.00 90.00
Each line ends with the local moment (μB).
Element x y z (fractional)
S 0.000 0.000 0.500  0.18
P 0.000 0.500 0.000  0.36
K 0.500 0.500 0.500  0.01
In 0.000 0.000 0.000  -0.01
P 0.500 0.000 0.000  0.36

ΔE_f (raw) ... 2.04 eV/f.u.
V ... 29.0 Å³/atom
Calculated total energy ... -3.35 eV/atom
Space-group type ... P4/mmm, No. 123
Spin magnetization ... 1.9 μB/f.u.
Energy relative to the lowest polymorph listed for this composition ... 0 meV/atom


Record 12
A geometry-optimized KInP2S structure, computed with PBE.

Lattice parameters (Å, degrees): 6.032 6.032 5.735 90.00 90.00 90.00
Each line ends with the local moment (μB).
Element x y z (fractional)
In 0.500 0.500 0.500  0.02
P 0.000 0.500 0.000  1.02
S 0.000 0.000 0.500  0.63
K 0.000 0.000 0.000  0.07
P 0.500 0.000 0.000  1.02

ΔE_f (raw) ... 6.82 eV/f.u.
V ... 41.7 Å³/atom
Calculated total energy ... -2.39 eV/atom
Space-group type ... P4/mmm, No. 123
Spin magnetization ... 6.0 μB/f.u.
Energy relative to the lowest polymorph listed for this composition ... 958 meV/atom


Record 13
A geometry-optimized KInPS2 structure, computed with PBE.

Lattice parameters (Å, degrees): 5.219 5.219 5.142 90.00 90.00 90.00
Each line ends with the local moment (μB).
Element x y z (fractional)
P 0.000 0.000 0.500  0.56
In 0.000 0.000 0.000  -0.01
S 0.000 0.500 0.000  0.10
K 0.500 0.500 0.500  0.01
S 0.500 0.000 0.000  0.10

ΔE_f (raw) ... 0.48 eV/f.u.
V ... 28.0 Å³/atom
Calculated total energy ... -3.40 eV/atom
Space-group type ... P4/mmm, No. 123
Spin magnetization ... 1.6 μB/f.u.
Energy relative to the lowest polymorph listed for this composition ... 0 meV/atom


Record 14
A geometry-optimized KInP2S8 structure, computed with PBE.

Lattice parameters (Å, degrees): 6.068 6.068 9.894 72.14 72.14 60.00
Each line ends with the local moment (μB).
Element x y z (fractional)
S 0.587 0.306 0.169  0.13
K 0.500 0.500 0.500  0.00
S 0.817 0.817 0.549  0.27
S 0.183 0.183 0.451  0.27
P 0.256 0.256 0.231  -0.01
In 0.000 0.000 0.000  0.00
S 0.694 0.062 0.831  0.13
S 0.413 0.694 0.831  0.13
S 0.938 0.587 0.169  0.13
P 0.744 0.744 0.769  -0.01
S 0.306 0.938 0.169  0.13
S 0.062 0.413 0.831  0.13

ΔE_f (raw) ... -3.25 eV/f.u.
V ... 24.6 Å³/atom
Calculated total energy ... -4.24 eV/atom
Space-group type ... R-3, No. 148
Spin magnetization ... 2.0 μB/f.u.


Record 15
A geometry-optimized KIn2SbP structure, computed with PBE.

Lattice parameters (Å, degrees): 5.213 5.795 5.213 90.00 90.00 90.00
Each line ends with the local moment (μB).
Element x y z (fractional)
Sb 0.500 0.500 0.500  0.11
K 0.000 0.500 0.000  0.00
In 0.500 0.000 0.000  -0.01
In 0.000 0.000 0.500  0.01
P 0.000 0.000 0.000  0.01

ΔE_f (raw) ... 0.85 eV/f.u.
V ... 31.5 Å³/atom
Calculated total energy ... -3.05 eV/atom
Space-group type ... P4/mmm, No. 123
Spin magnetization ... 0.3 μB/f.u.
Energy relative to the lowest polymorph listed for this composition ... 0 meV/atom


Record 16
A geometry-optimized KIn2SbP structure, computed with PBE.

Lattice parameters (Å, degrees): 5.851 5.479 5.851 90.00 90.00 90.00
Element x y z (fractional)
In 0.000 0.000 0.500
P 0.000 0.500 0.000
In 0.500 0.000 0.000
Sb 0.500 0.500 0.500
K 0.000 0.000 0.000

ΔE_f (raw) ... 5.46 eV/f.u.
V ... 37.5 Å³/atom
Calculated total energy ... -2.13 eV/atom
Space-group type ... P4/mmm, No. 123
Spin magnetization ... 0.0 μB/f.u.
Energy relative to the lowest polymorph listed for this composition ... 922 meV/atom


Record 17
A geometry-optimized KSc2InP structure, computed with PBE.

Lattice parameters (Å, degrees): 5.868 8.255 5.868 90.00 90.00 90.00
Each line ends with the local moment (μB).
Element x y z (fractional)
In 0.000 0.500 0.000  0.03
P 0.000 0.000 0.000  0.00
Sc 0.000 0.000 0.500  -0.08
Sc 0.500 0.000 0.000  0.01
K 0.500 0.500 0.500  0.00

V ... 56.9 Å³/atom
Calculated total energy ... -3.76 eV/atom
Space-group type ... P4/mmm, No. 123
Energy of formation ... 0.62 eV per atom
Spin magnetization ... 0.1 μB/f.u.


Record 18
A geometry-optimized K2InP2Se8 structure, computed with PBE.

Lattice parameters (Å, degrees): 12.909 12.909 13.074 81.55 81.55 127.70
Element x y z (fractional)
P 0.175 0.708 0.668
Se 0.532 0.067 0.099
Se 0.257 0.229 0.287
In 0.377 0.133 0.188
Se 0.517 0.230 0.343
K 0.247 0.132 0.571
K 0.132 0.247 0.071
Se 0.859 0.401 0.095
K 0.391 0.791 0.325
Se 0.246 0.063 0.031
Se 0.794 0.073 0.183
Se 0.563 0.865 0.848
Se 0.230 0.517 0.843
Se 0.073 0.794 0.683
Se 0.865 0.563 0.348
P 0.037 0.871 0.133
K 0.959 0.360 0.343
P 0.076 0.750 0.244
Se 0.299 0.540 0.199
P 0.404 0.456 0.205
Se 0.916 0.905 0.232
Se 0.401 0.859 0.595
P 0.456 0.404 0.705
Se 0.592 0.587 0.257
P 0.750 0.076 0.744
In 0.498 0.732 0.688
In 0.133 0.377 0.688
Se 0.745 0.941 0.524
Se 0.130 0.622 0.849
P 0.708 0.175 0.168
Se 0.880 0.179 0.850
Se 0.063 0.246 0.531
Se 0.398 0.589 0.533
Se 0.589 0.398 0.033
Se 0.540 0.299 0.699
Se 0.941 0.745 0.024
P 0.871 0.037 0.633
Se 0.494 0.480 0.523
Se 0.191 0.712 0.146
Se 0.067 0.532 0.599
Se 0.179 0.880 0.350
Se 0.622 0.130 0.349
K 0.791 0.391 0.825
K 0.746 0.852 0.016
K 0.360 0.959 0.843
K 0.852 0.746 0.516
Se 0.712 0.191 0.646
In 0.732 0.498 0.188
Se 0.587 0.592 0.757
Se 0.905 0.916 0.732
Se 0.229 0.257 0.787
Se 0.480 0.494 0.023

ΔE_f (raw) ... -6.87 eV/f.u.
V ... 31.3 Å³/atom
Calculated total energy ... -3.88 eV/atom
Space-group type ... Cc, No. 9
Spin magnetization ... 0.0 μB/f.u.


Record 19
A geometry-optimized K2In2P3Se10 structure, computed with PBE.

Lattice parameters (Å, degrees): 8.033 13.582 20.160 106.97 90.00 90.00
Element x y z (fractional)
K 0.843 0.598 0.426
P 0.182 0.185 0.347
In 0.977 0.032 0.175
Se 0.649 0.846 0.441
Se 0.613 0.417 0.588
In 0.151 0.902 0.312
P 0.610 0.554 0.021
In 0.523 0.532 0.175
Se 0.572 0.367 0.218
P 0.445 0.226 0.663
P 0.390 0.446 0.979
Se 0.720 0.587 0.931
Se 0.777 0.467 0.072
Se 0.887 0.917 0.588
P 0.318 0.685 0.347
In 0.023 0.968 0.825
K 0.940 0.324 0.918
In 0.477 0.468 0.825
Se 0.128 0.796 0.405
In 0.349 0.402 0.312
Se 0.928 0.867 0.218
P 0.110 0.946 0.979
Se 0.387 0.583 0.412
Se 0.227 0.844 0.723
Se 0.072 0.133 0.782
Se 0.008 0.816 0.895
Se 0.721 0.898 0.757
K 0.657 0.098 0.426
Se 0.149 0.654 0.559
Se 0.780 0.087 0.931
P 0.555 0.774 0.337
P 0.945 0.274 0.337
K 0.440 0.176 0.082
Se 0.872 0.204 0.595
Se 0.471 0.883 0.278
Se 0.372 0.296 0.405
Se 0.280 0.413 0.069
Se 0.628 0.704 0.595
Se 0.221 0.602 0.243
Se 0.351 0.154 0.559
Se 0.723 0.967 0.072
Se 0.492 0.316 0.895
Se 0.113 0.083 0.412
K 0.560 0.824 0.918
Se 0.508 0.684 0.105
Se 0.428 0.633 0.782
Se 0.223 0.533 0.928
Se 0.851 0.346 0.441
P 0.055 0.726 0.663
In 0.849 0.098 0.688
Se 0.992 0.184 0.105
Se 0.279 0.102 0.243
K 0.060 0.676 0.082
Se 0.273 0.344 0.723
K 0.343 0.902 0.574
Se 0.529 0.117 0.722
P 0.890 0.054 0.021
Se 0.727 0.656 0.277
Se 0.971 0.617 0.722
Se 0.779 0.398 0.757
P 0.818 0.815 0.653
Se 0.029 0.383 0.278
P 0.682 0.315 0.653
Se 0.277 0.033 0.928
Se 0.220 0.913 0.069
K 0.157 0.402 0.574
Se 0.773 0.156 0.277
In 0.651 0.598 0.688

ΔE_f (raw) ... -8.46 eV/f.u.
V ... 30.9 Å³/atom
Calculated total energy ... -3.95 eV/atom
Space-group type ... P2_1/c, No. 14
Spin magnetization ... 0.0 μB/f.u.


Record 20
A geometry-optimized KSrIn2P structure, computed with PBE.

Lattice parameters (Å, degrees): 5.753 6.503 5.753 90.00 90.00 90.00
Element x y z (fractional)
P 0.500 0.500 0.500
In 0.000 0.000 0.500
K 0.000 0.000 0.000
Sr 0.000 0.500 0.000
In 0.500 0.000 0.000

V ... 43.0 Å³/atom
Calculated total energy ... -1.70 eV/atom
Space-group type ... P4/mmm, No. 123
Energy of formation ... 1.04 eV per atom
Spin magnetization ... 0.0 μB/f.u.